<a>
Compound: CuW2Au
Source: Alexandria
Functional: meta-GGA SCAN
Structure: PBEsol geometry

```
CuW2Au
1.0
3.225 0.000 0.000
0.000 4.326 0.000
0.000 0.000 8.644
Cu W Au
2 4 2
Direct
0.000 0.000 0.000 Cu
0.500 0.500 0.000 Cu
0.000 0.000 0.511 W
0.000 0.500 0.765 W
0.500 0.000 0.765 W
0.500 0.500 0.511 W
0.000 0.500 0.243 Au
0.500 0.000 0.243 Au
```

Output
Symmetry ... Cmm2, No. 35
D(E_F) ... 1.57 states/eV/f.u.

<b>
Compound: CuW2Au
Source: Alexandria
Functional: meta-GGA SCAN
Structure: PBEsol geometry

```
CuW2Au
1.0
2.691 0.000 0.000
0.000 4.131 0.000
-0.248 0.000 5.348
Cu W Au
1 2 1
Direct
0.000 0.000 0.000 Cu
0.478 0.500 0.234 W
0.522 0.500 0.766 W
0.000 0.000 0.500 Au
```

Output
Symmetry ... P2/m, No. 10
D(E_F) ... 2.85 states/eV/f.u.

Energy relative to the most stable one, in kJ/mol of atoms: <a> 0.0; <b> 16.0

<a>
Compound: LiNiI2
Source: Alexandria
Functional: meta-GGA SCAN
Structure: PBEsol geometry

```
LiNiI2
1.0
6.081 0.000 0.000
0.000 6.081 0.000
0.000 0.000 11.957
Li Ni I
4 4 8
Direct
0.000 0.000 0.000 Li
0.000 0.500 0.250 Li
0.500 0.000 0.750 Li
0.500 0.500 0.500 Li
0.000 0.000 0.500 Ni
0.000 0.500 0.750 Ni
0.500 0.000 0.250 Ni
0.500 0.500 0.000 Ni
0.221 0.250 0.625 I
0.250 0.721 0.875 I
0.250 0.779 0.375 I
0.279 0.250 0.125 I
0.721 0.750 0.125 I
0.750 0.221 0.375 I
0.750 0.279 0.875 I
0.779 0.750 0.625 I
```

Output
Symmetry ... I-42d, No. 122
D(E_F) ... 2.56 states/eV/f.u.

<b>
Compound: LiNiI2
Source: Alexandria
Functional: meta-GGA SCAN
Structure: PBEsol geometry

```
LiNiI2
1.0
7.163 0.000 0.000
0.000 7.163 0.000
0.000 0.000 7.163
Li Ni I
4 4 8
Direct
0.000 0.000 0.000 Li
0.000 0.500 0.500 Li
0.500 0.000 0.500 Li
0.500 0.500 0.000 Li
0.000 0.000 0.500 Ni
0.000 0.500 0.000 Ni
0.500 0.000 0.000 Ni
0.500 0.500 0.500 Ni
0.250 0.250 0.250 I
0.250 0.250 0.750 I
0.250 0.750 0.250 I
0.250 0.750 0.750 I
0.750 0.250 0.250 I
0.750 0.250 0.750 I
0.750 0.750 0.250 I
0.750 0.750 0.750 I
```

Output
Symmetry ... Fm-3m, No. 225
D(E_F) ... 6.05 states/eV/f.u.

Energy relative to the most stable one, in kJ/mol of atoms: <a> 0.0; <b> 58.0

<a>
Compound: ZrSc2Co
Source: Alexandria
Functional: meta-GGA SCAN
Structure: PBEsol geometry

```
ZrSc2Co
1.0
6.592 0.000 0.000
0.000 6.592 0.000
0.000 0.000 6.592
Zr Sc Co
4 8 4
Direct
0.000 0.000 0.000 Zr
0.000 0.500 0.500 Zr
0.500 0.000 0.500 Zr
0.500 0.500 0.000 Zr
0.000 0.000 0.500 Sc
0.000 0.500 0.000 Sc
0.250 0.250 0.250 Sc
0.250 0.750 0.750 Sc
0.500 0.000 0.000 Sc
0.500 0.500 0.500 Sc
0.750 0.250 0.750 Sc
0.750 0.750 0.250 Sc
0.250 0.250 0.750 Co
0.250 0.750 0.250 Co
0.750 0.250 0.250 Co
0.750 0.750 0.750 Co
```

Output
Symmetry ... F-43m, No. 216
D(E_F) ... 3.61 states/eV/f.u.

<b>
Compound: ZrSc2Co
Source: Alexandria
Functional: meta-GGA SCAN
Structure: PBEsol geometry

```
ZrSc2Co
1.0
3.121 0.000 0.000
0.000 3.121 0.000
0.000 0.000 7.599
Zr Sc Co
1 2 1
Direct
0.000 0.000 0.000 Zr
0.500 0.500 0.303 Sc
0.500 0.500 0.697 Sc
0.000 0.000 0.500 Co
```

Output
Symmetry ... P4/mmm, No. 123
D(E_F) ... 3.62 states/eV/f.u.

Energy relative to the most stable one, in kJ/mol of atoms: <a> 28.5; <b> 0.0